No. 1
Computed, not measured: Ag2WSe after structural relaxation at the GGA-PBE level of DFT.

abc: 6.667 6.667 6.667
angles: 153.93 140.58 47.87
Sites, in units of the cell vectors:
Ag  0.069  0.069  0.000
Se  0.439  0.439  0.000
Ag  0.713  0.213  0.500
W  0.279  0.779  0.500

## Properties
The calculation puts the uncorrected formation energy at 0.537 eV per atom.



No. 2
Computed, not measured: AgWSe2 after structural relaxation at the GGA-PBE level of DFT.

abc: 3.275 2.708 10.118
angles: 106.39 90.00 90.00
Sites, in units of the cell vectors:
Se  0.000  0.034  0.045
Se  0.000  0.466  0.455
W  0.500  0.250  0.250
Ag  0.500  0.750  0.750

## Properties
The energy above the most stable polymorph in this dataset is 389 meV/atom. The calculation puts the uncorrected formation energy at 0.336 eV per atom.



No. 3
Computed, not measured: Ag2WSe after structural relaxation at the GGA-PBE level of DFT.

abc: 4.546 2.737 5.947
angles: 76.58 90.00 90.00
Sites, in units of the cell vectors:
Se  0.000  0.675  0.531
Ag  0.000  0.936  0.003
Ag  0.500  0.318  0.234
W  0.500  0.572  0.732

## Properties
The calculation puts the uncorrected formation energy at 0.507 eV per atom.



What did the second record say?
Computed, not measured: AgWSe2 after structural relaxation at the GGA-PBE level of DFT.

abc: 3.275 2.708 10.118
angles: 106.39 90.00 90.00
Sites, in units of the cell vectors:
Se  0.000  0.034  0.045
Se  0.000  0.466  0.455
W  0.500  0.250  0.250
Ag  0.500  0.750  0.750

## Properties
The energy above the most stable polymorph in this dataset is 389 meV/atom. The calculation puts the uncorrected formation energy at 0.336 eV per atom.



Repeat the first record exactly.
Computed, not measured: Ag2WSe after structural relaxation at the GGA-PBE level of DFT.

abc: 6.667 6.667 6.667
angles: 153.93 140.58 47.87
Sites, in units of the cell vectors:
Ag  0.069  0.069  0.000
Se  0.439  0.439  0.000
Ag  0.713  0.213  0.500
W  0.279  0.779  0.500

## Properties
The calculation puts the uncorrected formation energy at 0.537 eV per atom.



Number 1 is which compound? Ag2WSe